Entry 1:
## NdSm2MoO8 (PBE+U)

Data for a relaxed NdSm2MoO8 crystal.

Fermi-level density of states	6.22	states/eV/f.u.
E_tot	-7.6568	eV per atom
magnetic moment	0.079	μB per atom
V	187	Å³/cell

Structure (CIF):
```
data_NdSm2MoO8
_chemical_formula_sum 'Nd1 Sm2 Mo1 O8'
_cell_length_a 5.164
_cell_length_b 7.024
_cell_length_c 5.168
_cell_angle_alpha 90.00
_cell_angle_beta 90.36
_cell_angle_gamma 90.00
_symmetry_space_group_name_H-M 'P 1 2/m 1'
_symmetry_Int_Tables_number 10
loop_
_symmetry_equiv_pos_as_xyz
'x,y,z'
'-x,-y,-z'
'-x,y,-z'
'x,-y,z'
loop_
_atom_site_label
_atom_site_type_symbol
_atom_site_fract_x
_atom_site_fract_y
_atom_site_fract_z
Nd1 Nd 0.000 0.000 0.000
Sm1 Sm 0.500 0.255 0.500
Mo1 Mo 0.000 0.500 0.000
O1 O 0.180 0.296 0.819
O2 O 0.269 0.500 0.268
O3 O 0.313 0.000 0.311
```


Entry 2:
## TbNdMo2O8 (PBE+U)

Data for a relaxed TbNdMo2O8 crystal.

E_tot	-7.7034	eV per atom
magnetic moment	0.167	μB per atom
V	320	Å³/cell

Structure (CIF):
```
data_TbNdMo2O8
_chemical_formula_sum 'Tb2 Nd2 Mo4 O16'
_cell_length_a 5.324
_cell_length_b 5.324
_cell_length_c 11.299
_cell_angle_alpha 90.00
_cell_angle_beta 90.00
_cell_angle_gamma 90.00
_symmetry_space_group_name_H-M 'I -4'
_symmetry_Int_Tables_number 82
loop_
_symmetry_equiv_pos_as_xyz
'x,y,z'
'y,-x,-z'
'-x,-y,z'
'-y,x,-z'
'x+1/2,y+1/2,z+1/2'
'y+1/2,-x+1/2,-z+1/2'
'-x+1/2,-y+1/2,z+1/2'
'-y+1/2,x+1/2,-z+1/2'
loop_
_atom_site_label
_atom_site_type_symbol
_atom_site_fract_x
_atom_site_fract_y
_atom_site_fract_z
Tb1 Tb 0.000 0.000 0.000
Nd1 Nd 0.000 0.500 0.250
Mo1 Mo 0.000 0.000 0.500
Mo2 Mo 0.000 0.500 0.750
O1 O 0.168 0.733 0.837
O2 O 0.185 0.262 0.411
```